VASP calculation (PBE) on crystalline Na2TaIr2 at its relaxed geometry.

a b c (Å): 5.1041 5.1041 5.1041
angles (deg): 126.52 126.52 79.04
Closest atoms and distances in Å follow each position.
Atoms (fractional coordinates):
Na: 0.1211 0.1211 0.0000  1 Na 1.91
Na: 0.8789 0.8789 0.0000  1 Na 1.91
Ta: 0.5000 0.5000 0.0000  2 Na 2.98, 8 Ir 3.02
Ir: 0.2500 0.7500 0.5000  4 Na 2.51
Ir: 0.7500 0.2500 0.5000  4 Na 2.51

## Properties
**Density**: 12.220 g cm⁻³
**Total energy**: -27.2 eV for the cell shown
**ΔH_f (0 K)**: 1.006 eV per atom
**Polymorph energy (0 for the lowest one)**: 297 meV/atom

---

VASP calculation (PBE) on crystalline Na2TaIr2 at its relaxed geometry.

a b c (Å): 7.9653 7.9653 2.6613
angles (deg): 90.00 90.00 90.00
Closest atoms and distances in Å follow each position.
Atoms (fractional coordinates):
Na: 0.1006 0.3994 0.0000  1 Na 2.27
Na: 0.3994 0.8994 0.0000  1 Na 2.27
Na: 0.6006 0.1006 0.0000  1 Na 2.27
Na: 0.8994 0.6006 0.0000  1 Na 2.27
Ta: 0.0000 0.0000 0.0000  2 Ta 2.66
Ta: 0.5000 0.5000 0.0000  2 Ta 2.66
Ir: 0.1998 0.6998 0.5000  6 Na 2.61-2.85, 2 Ir 2.66
Ir: 0.3002 0.1998 0.5000  6 Na 2.61-2.85, 2 Ir 2.66
Ir: 0.6998 0.8002 0.5000  6 Na 2.61-2.85, 2 Ir 2.66
Ir: 0.8002 0.3002 0.5000  6 Na 2.61-2.85, 2 Ir 2.66

## Properties
**Density**: 12.025 g cm⁻³
**Total energy**: -57.3 eV for the cell shown
**ΔH_f (0 K)**: 0.709 eV per atom
**Polymorph energy (0 for the lowest one)**: 0 meV/atom

---

VASP calculation (PBE) on crystalline NaTa3Ir at its relaxed geometry.

a b c (Å): 4.5521 4.5521 4.5521
angles (deg): 90.00 90.00 90.00
Closest atoms and distances in Å follow each position.
Atoms (fractional coordinates):
Na: 0.0000 0.0000 0.0000  6 Ta 2.28
Ta: 0.0000 0.0000 0.5000  2 Na 2.28
Ta: 0.0000 0.5000 0.0000  2 Na 2.28
Ta: 0.5000 0.0000 0.0000  2 Na 2.28
Ir: 0.5000 0.5000 0.5000  12 Ta 3.22

## Properties
**Density**: 13.345 g cm⁻³
**Total energy**: -34.0 eV for the cell shown
**ΔH_f (0 K)**: 2.347 eV per atom
**Polymorph energy (0 for the lowest one)**: 1246 meV/atom

---

VASP calculation (PBE) on crystalline NaTa2Ir2 at its relaxed geometry.

a b c (Å): 7.9472 7.9472 2.8584
angles (deg): 90.00 90.00 90.00
Closest atoms and distances in Å follow each position.
Atoms (fractional coordinates):
Na: 0.0000 0.0000 0.0000  2 Na 2.86, 4 Ir 3.07
Na: 0.5000 0.5000 0.0000  2 Na 2.86, 4 Ir 3.07
Ta: 0.1510 0.3490 0.5000  6 Ir 2.72-2.74, 2 Ta 2.86
Ta: 0.3490 0.8490 0.5000  6 Ir 2.72-2.74, 2 Ta 2.86
Ta: 0.6510 0.1510 0.5000  6 Ir 2.72-2.74, 2 Ta 2.86
Ta: 0.8490 0.6510 0.5000  6 Ir 2.72-2.74, 2 Ta 2.86
Ir: 0.1406 0.6406 0.0000  6 Ta 2.72-2.74, 2 Ir 2.86
Ir: 0.3594 0.1406 0.0000  6 Ta 2.72-2.74, 2 Ir 2.86
Ir: 0.6406 0.8594 0.0000  6 Ta 2.72-2.74, 2 Ir 2.86
Ir: 0.8594 0.3594 0.0000  6 Ta 2.72-2.74, 2 Ir 2.86

## Properties
**Density**: 14.152 g cm⁻³
**Total energy**: -88.2 eV for the cell shown
**ΔH_f (0 K)**: -0.271 eV per atom
**Polymorph energy (0 for the lowest one)**: 0 meV/atom

---

> What is the total energy in the fourth record?

-88.2 eV for the cell shown